The following is a DFT calculation (PBEsol) of a geometry-optimized CaPPt structure.

CIF file:
```
data_CaPPt
_chemical_formula_sum 'Ca1 P1 Pt1'
_cell_length_a 4.0332
_cell_length_b 4.0332
_cell_length_c 4.1273
_cell_angle_alpha 90.00
_cell_angle_beta 90.00
_cell_angle_gamma 120.00
_space_group_name_H-M_alt 'P -6 m 2'
_space_group_IT_number 187
_space_group_name_Hall 'P -6 2'
loop_
_atom_site_label
_atom_site_fract_x
_atom_site_fract_y
_atom_site_fract_z
_atom_site_occupancy
Ca1 0.0000 0.0000 0.0000 1
P1 0.3333 0.6667 0.5000 1
Pt1 0.6667 0.3333 0.5000 1
```

Summary:
**Density**: 7.6 Mg/m³
**M_tot**: 0.000 μB/atom
**DFT formation energy**: -109.54 kJ/mol of atoms